--- a ---
This record from Alexandria via LeMat-Bulk describes a geometry-optimized LiSb2Mo structure. The functional is GGA-PBE.

abc: 6.6585 6.6791 3.4473
angles: 90.00 90.00 90.00
Fractional positions:
Li1 0.0000 0.0000 0.0000
Li2 0.5000 0.5000 0.0000
Sb1 0.2500 0.2500 0.5000
Sb2 0.2500 0.7500 0.5000
Sb3 0.7500 0.2500 0.5000
Sb4 0.7500 0.7500 0.5000
Mo1 0.0000 0.5000 0.0000
Mo2 0.5000 0.0000 0.0000

Properties
SG   Cmmm, No. 65

=====

--- b ---
This record from Alexandria via LeMat-Bulk describes a geometry-optimized LiSb2Mo structure. The functional is GGA-PBE.

abc: 4.0337 4.0337 9.7282
angles: 90.00 90.00 90.00
Fractional positions:
Li1 0.0000 0.0000 0.0000
Li2 0.5000 0.5000 0.5000
Sb1 0.0000 0.0000 0.5000
Sb2 0.0000 0.5000 0.2500
Sb3 0.5000 0.0000 0.7500
Sb4 0.5000 0.5000 0.0000
Mo1 0.0000 0.5000 0.7500
Mo2 0.5000 0.0000 0.2500

Properties
SG   I-4m2, No. 119

=====

It comes down to a, which is 49 meV per atom more stable than the next structure.

=====

--- a ---
This record from Alexandria via LeMat-Bulk describes a geometry-optimized LiSb2Mo structure. The functional is GGA-PBE.

abc: 6.9409 6.9409 6.9409
angles: 90.00 90.00 90.00
Fractional positions:
Li1 0.0000 0.0000 0.0000
Li2 0.0000 0.5000 0.5000
Li3 0.5000 0.0000 0.5000
Li4 0.5000 0.5000 0.0000
Sb1 0.0000 0.0000 0.5000
Sb2 0.0000 0.5000 0.0000
Sb3 0.2500 0.2500 0.7500
Sb4 0.2500 0.7500 0.2500
Sb5 0.5000 0.0000 0.0000
Sb6 0.5000 0.5000 0.5000
Sb7 0.7500 0.2500 0.2500
Sb8 0.7500 0.7500 0.7500
Mo1 0.2500 0.2500 0.2500
Mo2 0.2500 0.7500 0.7500
Mo3 0.7500 0.2500 0.7500
Mo4 0.7500 0.7500 0.2500

Properties
SG   F-43m, No. 216

=====

--- b ---
This record from Alexandria via LeMat-Bulk describes a geometry-optimized LiSb2Mo structure. The functional is GGA-PBE.

abc: 6.7915 6.7915 6.7915
angles: 90.00 90.00 90.00
Fractional positions:
Li1 0.0000 0.0000 0.0000
Li2 0.0000 0.5000 0.5000
Li3 0.5000 0.0000 0.5000
Li4 0.5000 0.5000 0.0000
Sb1 0.2500 0.2500 0.2500
Sb2 0.2500 0.2500 0.7500
Sb3 0.2500 0.7500 0.2500
Sb4 0.2500 0.7500 0.7500
Sb5 0.7500 0.2500 0.2500
Sb6 0.7500 0.2500 0.7500
Sb7 0.7500 0.7500 0.2500
Sb8 0.7500 0.7500 0.7500
Mo1 0.0000 0.0000 0.5000
Mo2 0.0000 0.5000 0.0000
Mo3 0.5000 0.0000 0.0000
Mo4 0.5000 0.5000 0.5000

Properties
SG   Fm-3m, No. 225

=====

--- c ---
This record from Alexandria via LeMat-Bulk describes a geometry-optimized LiSb2Mo structure. The functional is GGA-PBE.

abc: 4.0105 4.9402 7.6817
angles: 90.00 90.00 90.00
Fractional positions:
Li1 0.0000 0.0000 0.0000
Li2 0.5000 0.5000 0.5000
Sb1 0.0000 0.5000 0.2659
Sb2 0.0000 0.5000 0.7341
Sb3 0.5000 0.0000 0.2341
Sb4 0.5000 0.0000 0.7659
Mo1 0.0000 0.0000 0.5000
Mo2 0.5000 0.5000 0.0000

Properties
SG   Immm, No. 71

=====

--- d ---
This record from Alexandria via LeMat-Bulk describes a geometry-optimized LiSb2Mo structure. The functional is GGA-PBE.

abc: 3.4207 3.4207 25.3292
angles: 90.00 90.00 120.00
Fractional positions:
Li1 0.0000 0.0000 0.0000
Li2 0.3333 0.6667 0.6667
Li3 0.6667 0.3333 0.3333
Sb1 0.0000 0.0000 0.2432
Sb2 0.0000 0.0000 0.7568
Sb3 0.3333 0.6667 0.4234
Sb4 0.3333 0.6667 0.9099
Sb5 0.6667 0.3333 0.0901
Sb6 0.6667 0.3333 0.5766
Mo1 0.0000 0.0000 0.5000
Mo2 0.3333 0.6667 0.1667
Mo3 0.6667 0.3333 0.8333

Properties
SG   R-3m, No. 166

=====

It comes down to d, which is 162 meV per atom more stable than the next structure.

=====

--- a ---
This record from Alexandria via LeMat-Bulk describes a geometry-optimized LiSc2Mo structure. The functional is GGA-PBE.

abc: 3.0660 4.8949 10.2239
angles: 90.00 90.00 90.00
Fractional positions:
Li1 0.0000 0.0000 0.0000
Li2 0.5000 0.5000 0.5000
Sc1 0.0000 0.0000 0.4614
Sc2 0.0000 0.5000 0.2487
Sc3 0.5000 0.0000 0.7487
Sc4 0.5000 0.5000 0.9614
Mo1 0.0000 0.5000 0.7225
Mo2 0.5000 0.0000 0.2225

Properties
SG   Imm2, No. 44

=====

--- b ---
This record from Alexandria via LeMat-Bulk describes a geometry-optimized LiSc2Mo structure. The functional is GGA-PBE.

abc: 10.3217 3.0309 5.0720
angles: 90.00 104.86 90.00
Fractional positions:
Li1 0.0000 0.0000 0.0000
Li2 0.5000 0.5000 0.0000
Sc1 0.0413 0.5000 0.5366
Sc2 0.2544 0.5000 0.1643
Sc3 0.5413 0.0000 0.5366
Sc4 0.7544 0.0000 0.1643
Mo1 0.2861 0.0000 0.6743
Mo2 0.7861 0.5000 0.6743

Properties
SG   Cm, No. 8

=====

--- c ---
This record from Alexandria via LeMat-Bulk describes a geometry-optimized LiSc2Mo structure. The functional is GGA-PBE.

abc: 3.1964 3.1964 30.2219
angles: 90.00 90.00 120.00
Fractional positions:
Li1 0.0000 0.0000 0.0000
Li2 0.3333 0.6667 0.6667
Li3 0.6667 0.3333 0.3333
Sc1 0.0000 0.0000 0.0990
Sc2 0.0000 0.0000 0.9010
Sc3 0.3333 0.6667 0.5677
Sc4 0.3333 0.6667 0.7657
Sc5 0.6667 0.3333 0.2344
Sc6 0.6667 0.3333 0.4323
Mo1 0.0000 0.0000 0.5000
Mo2 0.3333 0.6667 0.1667
Mo3 0.6667 0.3333 0.8333

Properties
SG   R-3m, No. 166

=====

It comes down to b, which is 40 meV per atom more stable than the next structure.

=====

--- a ---
This record from Alexandria via LeMat-Bulk describes a geometry-optimized LiSc2Mo structure. The functional is GGA-PBE.

abc: 3.4495 4.6226 9.8541
angles: 90.00 90.00 90.00
Fractional positions:
Li1 0.0000 0.0000 0.0000
Li2 0.5000 0.5000 0.0000
Sc1 0.0000 0.0000 0.5512
Sc2 0.0000 0.5000 0.2666
Sc3 0.5000 0.0000 0.2666
Sc4 0.5000 0.5000 0.5512
Mo1 0.0000 0.5000 0.7717
Mo2 0.5000 0.0000 0.7717

Properties
SG   Cmm2, No. 35

=====

--- b ---
This record from Alexandria via LeMat-Bulk describes a geometry-optimized LiSc2Mo structure. The functional is GGA-PBE.

abc: 3.2270 3.2270 28.5849
angles: 90.00 90.00 120.00
Fractional positions:
Li1 0.0000 0.0000 0.0000
Li2 0.3333 0.6667 0.6667
Li3 0.6667 0.3333 0.3333
Sc1 0.0000 0.0000 0.2377
Sc2 0.0000 0.0000 0.7623
Sc3 0.3333 0.6667 0.4290
Sc4 0.3333 0.6667 0.9044
Sc5 0.6667 0.3333 0.0956
Sc6 0.6667 0.3333 0.5710
Mo1 0.0000 0.0000 0.5000
Mo2 0.3333 0.6667 0.1667
Mo3 0.6667 0.3333 0.8333

Properties
SG   R-3m, No. 166

=====

--- c ---
This record from Alexandria via LeMat-Bulk describes a geometry-optimized LiSc2Mo structure. The functional is GGA-PBE.

abc: 2.9688 2.9688 32.2112
angles: 90.00 90.00 120.00
Fractional positions:
Li1 0.0000 0.0000 0.0000
Li2 0.3333 0.6667 0.6667
Li3 0.6667 0.3333 0.3333
Sc1 0.0000 0.0000 0.4180
Sc2 0.0000 0.0000 0.5820
Sc3 0.3333 0.6667 0.0847
Sc4 0.3333 0.6667 0.2486
Sc5 0.6667 0.3333 0.7514
Sc6 0.6667 0.3333 0.9153
Mo1 0.0000 0.0000 0.5000
Mo2 0.3333 0.6667 0.1667
Mo3 0.6667 0.3333 0.8333

Properties
SG   R-3m, No. 166

=====

It comes down to b, which is 54 meV per atom more stable than the next structure.

=====

--- a ---
This record from Alexandria via LeMat-Bulk describes a geometry-optimized LiSc2Mo structure. The functional is GGA-PBE.

abc: 3.5818 3.5818 6.0100
angles: 90.00 90.00 90.00
Fractional positions:
Li1 0.0000 0.0000 0.0000
Sc1 0.0000 0.0000 0.4346
Sc2 0.5000 0.5000 0.7431
Mo1 0.5000 0.5000 0.2514

Properties
SG   P4mm, No. 99

=====

--- b ---
This record from Alexandria via LeMat-Bulk describes a geometry-optimized LiSc2Mo structure. The functional is GGA-PBE.

abc: 9.1712 2.9086 5.9392
angles: 90.00 97.14 90.00
Fractional positions:
Li1 0.0000 0.0000 0.0000
Li2 0.5000 0.5000 0.0000
Sc1 0.2433 0.0000 0.7305
Sc2 0.2567 0.5000 0.2695
Sc3 0.7433 0.5000 0.7305
Sc4 0.7567 0.0000 0.2695
Mo1 0.0000 0.5000 0.5000
Mo2 0.5000 0.0000 0.5000

Properties
SG   C2/m, No. 12

=====

--- c ---
This record from Alexandria via LeMat-Bulk describes a geometry-optimized LiSc2Mo structure. The functional is GGA-PBE.

abc: 2.9087 4.5439 5.8751
angles: 90.00 90.00 90.00
Fractional positions:
Li1 0.0000 0.0000 0.0000
Sc1 0.0000 0.0000 0.4552
Sc2 0.5000 0.5000 0.7614
Mo1 0.5000 0.5000 0.2725

Properties
SG   Pmm2, No. 25

=====

--- d ---
This record from Alexandria via LeMat-Bulk describes a geometry-optimized LiSc2Mo structure. The functional is GGA-PBE.

abc: 4.9916 4.9916 3.0670
angles: 90.00 90.00 90.00
Fractional positions:
Li1 0.0000 0.0000 0.0000
Sc1 0.0000 0.5000 0.5000
Sc2 0.5000 0.0000 0.5000
Mo1 0.5000 0.5000 0.0000

Properties
SG   P4/mmm, No. 123

=====

It comes down to d, which is 100 meV per atom more stable than the next structure.

=====

--- a ---
This record from Alexandria via LeMat-Bulk describes a geometry-optimized LiSc2Mo structure. The functional is GGA-PBE.

abc: 3.4868 4.8391 9.7814
angles: 90.00 90.00 90.00
Fractional positions:
Li1 0.0000 0.0000 0.0000
Li2 0.5000 0.5000 0.0000
Sc1 0.0000 0.5000 0.2815
Sc2 0.0000 0.5000 0.7185
Sc3 0.5000 0.0000 0.2815
Sc4 0.5000 0.0000 0.7185
Mo1 0.0000 0.0000 0.5000
Mo2 0.5000 0.5000 0.5000

Properties
SG   Cmmm, No. 65

=====

--- b ---
This record from Alexandria via LeMat-Bulk describes a geometry-optimized LiSc2Mo structure. The functional is GGA-PBE.

abc: 7.4875 7.4875 10.9591
angles: 90.00 90.00 90.00
Fractional positions:
Li1 0.0000 0.2500 0.3750
Li2 0.0000 0.7500 0.6250
Li3 0.5000 0.2500 0.1250
Li4 0.5000 0.7500 0.8750
Sc1 0.0000 0.0000 0.0000
Sc2 0.0000 0.5000 0.0000
Sc3 0.2500 0.2500 0.7500
Sc4 0.2500 0.7500 0.2500
Sc5 0.5000 0.0000 0.5000
Sc6 0.5000 0.5000 0.5000
Sc7 0.7500 0.2500 0.7500
Sc8 0.7500 0.7500 0.2500
Mo1 0.0000 0.2500 0.8750
Mo2 0.0000 0.7500 0.1250
Mo3 0.5000 0.2500 0.6250
Mo4 0.5000 0.7500 0.3750

Properties
SG   I4_1/amd, No. 141

=====

--- c ---
This record from Alexandria via LeMat-Bulk describes a geometry-optimized LiSc2Mo structure. The functional is GGA-PBE.

abc: 3.2562 3.3455 7.6257
angles: 90.00 90.23 90.00
Fractional positions:
Li1 0.0000 0.0000 0.0000
Sc1 0.4991 0.5000 0.2902
Sc2 0.5009 0.5000 0.7098
Mo1 0.0000 0.0000 0.5000

Properties
SG   P2/m, No. 10

=====

It comes down to c, which is 28 meV per atom more stable than the next structure.

=====

--- a ---
This record from Alexandria via LeMat-Bulk describes a geometry-optimized LiScMo structure. The functional is GGA-PBE.

abc: 3.4052 4.4543 14.5382
angles: 90.00 90.00 90.00
Fractional positions:
Li1 0.0000 0.0000 0.0000
Li2 0.0000 0.5000 0.5000
Li3 0.5000 0.0000 0.5000
Li4 0.5000 0.5000 0.0000
Sc1 0.0000 0.0000 0.3107
Sc2 0.0000 0.5000 0.8107
Sc3 0.5000 0.0000 0.8107
Sc4 0.5000 0.5000 0.3107
Mo1 0.0000 0.0000 0.6585
Mo2 0.0000 0.5000 0.1585
Mo3 0.5000 0.0000 0.1585
Mo4 0.5000 0.5000 0.6585

Properties
SG   Fmm2, No. 42

=====

--- b ---
This record from Alexandria via LeMat-Bulk describes a geometry-optimized LiScMo structure. The functional is GGA-PBE.

abc: 9.9455 4.3812 5.8254
angles: 90.00 122.79 90.00
Fractional positions:
Li1 0.0000 0.0000 0.0000
Li2 0.1283 0.5000 0.0052
Li3 0.5000 0.5000 0.0000
Li4 0.6283 0.0000 0.0052
Sc1 0.3256 0.0000 0.0089
Sc2 0.4679 0.5000 0.4808
Sc3 0.8256 0.5000 0.0089
Sc4 0.9679 0.0000 0.4808
Mo1 0.1802 0.5000 0.5527
Mo2 0.2858 0.0000 0.4938
Mo3 0.6802 0.0000 0.5527
Mo4 0.7858 0.5000 0.4938

Properties
SG   Cm, No. 8

=====

--- c ---
This record from Alexandria via LeMat-Bulk describes a geometry-optimized LiScMo structure. The functional is GGA-PBE.

abc: 2.7685 2.7685 14.3662
angles: 90.00 90.00 90.00
Fractional positions:
Li1 0.0000 0.0000 0.0000
Li2 0.5000 0.5000 0.5000
Sc1 0.0000 0.0000 0.3119
Sc2 0.5000 0.5000 0.8119
Mo1 0.0000 0.0000 0.6590
Mo2 0.5000 0.5000 0.1590

Properties
SG   I4mm, No. 107

=====

--- d ---
This record from Alexandria via LeMat-Bulk describes a geometry-optimized LiScMo structure. The functional is GGA-PBE.

abc: 3.2129 3.2129 11.4193
angles: 90.00 90.00 90.00
Fractional positions:
Li1 0.2500 0.2500 0.0789
Li2 0.7500 0.7500 0.9211
Sc1 0.2500 0.2500 0.7168
Sc2 0.7500 0.7500 0.2832
Mo1 0.2500 0.2500 0.4379
Mo2 0.7500 0.7500 0.5621

Properties
SG   P4/nmm, No. 129

=====

It comes down to d, which is 220 meV per atom more stable than the next structure.

=====

--- a ---
This record from Alexandria via LeMat-Bulk describes a geometry-optimized LiScMo structure. The functional is GGA-PBE.

abc: 4.9224 3.3139 6.9389
angles: 90.00 102.54 90.00
Fractional positions:
Li1 0.0000 0.0000 0.0000
Li2 0.2436 0.0000 0.6999
Sc1 0.1083 0.5000 0.3340
Sc2 0.7102 0.5000 0.6538
Mo1 0.5220 0.5000 0.0369
Mo2 0.5984 0.0000 0.3022

Properties
SG   Pm, No. 6

=====

--- b ---
This record from Alexandria via LeMat-Bulk describes a geometry-optimized LiScMo structure. The functional is GGA-PBE.

abc: 4.9847 5.0901 8.3511
angles: 90.00 90.00 90.00
Fractional positions:
Li1 0.0000 0.0000 0.0000
Li2 0.0000 0.5000 0.0000
Li3 0.5000 0.0000 0.5000
Li4 0.5000 0.5000 0.5000
Sc1 0.0000 0.2500 0.3803
Sc2 0.0000 0.7500 0.6197
Sc3 0.5000 0.2500 0.1197
Sc4 0.5000 0.7500 0.8803
Mo1 0.2500 0.2500 0.7500
Mo2 0.2500 0.7500 0.2500
Mo3 0.7500 0.2500 0.7500
Mo4 0.7500 0.7500 0.2500

Properties
SG   Imma, No. 74

=====

--- c ---
This record from Alexandria via LeMat-Bulk describes a geometry-optimized LiScMo structure. The functional is GGA-PBE.

abc: 2.8224 3.8978 9.3508
angles: 90.00 90.00 90.00
Fractional positions:
Li1 0.0000 0.0000 0.0000
Li2 0.5000 0.5000 0.5000
Sc1 0.0000 0.0000 0.3229
Sc2 0.5000 0.5000 0.8229
Mo1 0.0000 0.0000 0.6514
Mo2 0.5000 0.5000 0.1514

Properties
SG   Imm2, No. 44

=====

It comes down to b, which is 23 meV per atom more stable than the next structure.